# TbNdAs2Rh5 | Alexandria via LeMat-Bulk | PBE | optimized geometry
data_TbNdAs2Rh5
_chemical_formula_sum 'Tb1 Nd1 As2 Rh5'
_space_group_name_H-M_alt 'P 4/m m m'
_space_group_IT_number 123
_space_group_name_Hall '-P 4 2'
_cell_length_a 4.273
_cell_length_b 4.273
_cell_length_c 8.862
_cell_angle_alpha 90.00
_cell_angle_beta 90.00
_cell_angle_gamma 90.00
loop_
_atom_site_label
_atom_site_type_symbol
_atom_site_fract_x
_atom_site_fract_y
_atom_site_fract_z
Tb1 Tb 0.000 0.000 0.000
Nd1 Nd 0.000 0.000 0.500
As1 As 0.500 0.500 0.146
Rh1 Rh 0.000 0.500 0.263
Rh2 Rh 0.500 0.500 0.500
# Formation energy, eV per formula unit: -6.694
# Density, g/cm3: 9.930
# Raw total energy, eV per atom: -6.91

=====

# Ca3ScBe | Alexandria via LeMat-Bulk | PBE | optimized geometry
data_Ca3ScBe
_chemical_formula_sum 'Ca3 Sc1 Be1'
_space_group_name_H-M_alt 'P m -3 m'
_space_group_IT_number 221
_space_group_name_Hall '-P 4 2 3'
_cell_length_a 5.907
_cell_length_b 5.907
_cell_length_c 5.907
_cell_angle_alpha 90.00
_cell_angle_beta 90.00
_cell_angle_gamma 90.00
loop_
_atom_site_label
_atom_site_type_symbol
_atom_site_fract_x
_atom_site_fract_y
_atom_site_fract_z
Ca1 Ca 0.000 0.000 0.500
Sc1 Sc 0.000 0.000 0.000
Be1 Be 0.500 0.500 0.500
# Formation energy, eV per formula unit: 6.217
# Density, g/cm3: 1.404
# Relative energy among the computed polymorphs, eV per atom: 0.7514
# Raw total energy, eV per atom: -1.97